## i
ScFeSnPt (PBE, relaxed); M_tot = 0.69 μB per atom; crystal system = cubic; V = 70 Å³/cell; space-group type = No. 216
1.0
0.1734 -0.4513 4.6048
-1.3512 3.4939 2.7211
-3.9187 -0.3488 2.4412
Pt Sn Fe Sc
1 1 1 1
Cartesian
-2.5482 1.3469 4.8835 Pt
0.0000 0.0000 0.0000 Sn
-3.8224 2.0203 7.3253 Fe
-1.2741 0.6734 2.4418 Sc

***

## ii
ScFeSnPt (PBE, relaxed); M_tot = 0.31 μB per atom; crystal system = cubic; V = 67 Å³/cell; space-group type = No. 216
1.0
1.3762 -1.7317 3.9826
2.3045 2.6053 2.9421
-1.9748 1.3526 3.8762
Sn Fe Sc Pt
1 1 1 1
Cartesian
0.0000 0.0000 0.0000 Sn
1.2794 1.6696 8.1006 Fe
0.8530 1.1131 5.4004 Sc
0.4265 0.5565 2.7002 Pt

***

Relative energies, unit meV/atom: i 190; ii 0

***

## i
PrZr (PBE, relaxed); M_tot = 0.00 μB per atom; crystal system = monoclinic; V = 342 Å³/cell; space-group type = No. 11
1.0
8.9002 -1.7147 0.0000
-0.0006 6.8558 0.0000
0.0000 0.0000 5.6093
Zr Pr
6 6
Cartesian
5.8880 3.5461 0.0000 Zr
4.8678 5.2613 2.8046 Zr
1.9695 -0.0062 2.8046 Zr
0.0082 0.0060 0.0000 Zr
6.0093 -0.1204 0.0000 Zr
4.9892 1.5948 2.8046 Zr
3.0549 5.2428 0.0000 Pr
3.1091 1.6195 0.0000 Pr
7.7681 3.5214 2.8046 Pr
2.0943 3.4265 2.8046 Pr
7.8223 -0.1019 2.8046 Pr
8.7829 1.7144 0.0000 Pr

***

## ii
PrZr (PBE, relaxed); M_tot = 0.00 μB per atom; crystal system = hexagonal; V = 230 Å³/cell; space-group type = No. 187
1.0
-1.2308 1.4961 6.6680
-1.4078 -6.3419 -2.4524
5.0987 -1.6378 1.3086
Zr Pr
4 4
Cartesian
-1.3221 -2.5486 1.9615 Zr
-0.7660 -3.2246 -1.0515 Zr
1.2006 -4.5481 1.2421 Zr
-1.9582 -5.4143 0.8533 Zr
1.2881 -0.6724 5.7519 Pr
0.0000 0.0000 0.0000 Pr
1.8831 -1.3956 2.5286 Pr
0.6076 -3.7381 4.5664 Pr

***

Relative energies, unit meV/atom: i 5; ii 0

***

## i
KCoGe (PBE, relaxed); M_tot = 0.18 μB per atom; crystal system = cubic; V = 64 Å³/cell; space-group type = No. 216
1.0
1.0067 -1.4649 4.1357
-2.8852 -2.6545 2.2118
0.9945 -4.3387 0.6709
Ge Co K
1 1 1
Cartesian
-0.2210 -2.1145 1.7546 Ge
0.0000 0.0000 0.0000 Co
-0.6631 -6.3436 5.2638 K

***

## ii
KCoGe (PBE, relaxed); M_tot = 0.45 μB per atom; crystal system = cubic; V = 90 Å³/cell; space-group type = No. 216
1.0
0.0000 3.5559 3.5559
3.5559 0.0000 3.5559
3.5559 3.5559 0.0000
K Co Ge
1 1 1
Cartesian
0.0000 0.0000 0.0000 K
1.7780 1.7780 1.7780 Co
5.3339 5.3339 5.3339 Ge

***

Relative energies, unit meV/atom: i 0; ii 825